FeHCl (GGA-PBE, optimized geometry); E = -4.7422 eV/atom; crystal system = monoclinic
1.0
5.332 -1.779 0.000
5.332 1.779 0.000
-2.252 0.000 4.355
Fe H Cl
2 2 2
Direct
0.155 0.155 0.405
0.845 0.845 0.595
0.330 0.330 0.582
0.670 0.670 0.418
0.097 0.097 0.847
0.903 0.903 0.153